(1)
# Er6TcBi3 PBE-GGA optimized geometry
# - density (g/cm3) = 9.8
# - energy (eV per cell) = -106.7
# - DOS(E_F) (states/eV/f.u.) = 8.0
# - energy relative to the elements (eV per atom) = -0.39
# - volume (Å³/cell) = 584.3
data_Er6TcBi3
_chemical_formula_sum 'Er12 Tc2 Bi6'
_cell_length_a 6.1777
_cell_length_b 8.5353
_cell_length_c 12.5679
_cell_angle_alpha 90.00
_cell_angle_beta 118.15
_cell_angle_gamma 90.00
_symmetry_space_group_name_H-M 'P 1 21/c 1'
_symmetry_Int_Tables_number 14
loop_
_symmetry_equiv_pos_as_xyz
'x,y,z'
'-x,-y,-z'
'-x,y+1/2,-z+1/2'
'x,-y+1/2,z+1/2'
loop_
_atom_site_label
_atom_site_fract_x
_atom_site_fract_y
_atom_site_fract_z
Er1 0.0434 0.2001 0.4412
Er2 0.3138 0.6539 0.4338
Er3 0.3544 0.0338 0.2278
Tc1 0.0000 0.0000 0.0000
Bi1 0.1478 0.1214 0.7396
Bi2 0.5000 0.0000 0.5000

---

(2)
# Er4TcBi2 PBE-GGA optimized geometry
# - density (g/cm3) = 10.0
# - energy (eV per cell) = -78.3
# - DOS(E_F) (states/eV/f.u.) = 5.7
# - energy relative to the elements (eV per atom) = -0.40
# - volume (Å³/cell) = 392.0
data_Er4TcBi2
_chemical_formula_sum 'Er8 Tc2 Bi4'
_cell_length_a 7.2978
_cell_length_b 6.4130
_cell_length_c 8.6954
_cell_angle_alpha 90.00
_cell_angle_beta 105.58
_cell_angle_gamma 90.00
_symmetry_space_group_name_H-M 'P 1 21/m 1'
_symmetry_Int_Tables_number 11
loop_
_symmetry_equiv_pos_as_xyz
'x,y,z'
'-x,-y,-z'
'-x,y+1/2,-z'
'x,-y+1/2,z'
loop_
_atom_site_label
_atom_site_fract_x
_atom_site_fract_y
_atom_site_fract_z
Er1 0.1387 0.0049 0.2907
Er2 0.2824 0.7500 0.6561
Er3 0.3030 0.2500 0.8954
Tc1 0.0763 0.2500 0.5679
Bi1 0.2010 0.7500 0.9865
Bi2 0.4589 0.2500 0.5845

---

(3)
# Er8Tc2Bi PBE-GGA optimized geometry
# - density (g/cm3) = 9.0
# - energy (eV per cell) = -122.6
# - DOS(E_F) (states/eV/f.u.) = 9.6
# - energy relative to the elements (eV per atom) = -0.02
# - volume (Å³/cell) = 645.5
data_Er8Tc2Bi
_chemical_formula_sum 'Er16 Tc4 Bi2'
_cell_length_a 13.5767
_cell_length_b 8.5993
_cell_length_c 5.5968
_cell_angle_alpha 90.00
_cell_angle_beta 98.95
_cell_angle_gamma 90.00
_symmetry_space_group_name_H-M 'C 1 2/m 1'
_symmetry_Int_Tables_number 12
loop_
_symmetry_equiv_pos_as_xyz
'x,y,z'
'-x,-y,-z'
'-x,y,-z'
'x,-y,z'
'x+1/2,y+1/2,z'
'-x+1/2,-y+1/2,-z'
'-x+1/2,y+1/2,-z'
'x+1/2,-y+1/2,z'
loop_
_atom_site_label
_atom_site_fract_x
_atom_site_fract_y
_atom_site_fract_z
Er1 0.0349 0.0000 0.2654
Er2 0.1325 0.3027 0.9367
Er3 0.2366 0.5000 0.4801
Tc1 0.1859 0.0000 0.9738
Bi1 0.0000 0.5000 0.5000

---

(4)
# Er5Bi2Te2 PBE-GGA optimized geometry
# - density (g/cm3) = 9.8
# - E_form (uncorrected) (eV per atom) = -0.84
# - energy (eV per cell) = -177.7
# - DOS(E_F) (states/eV/f.u.) = 9.3
# - volume (Å³/cell) = 1019.0
data_Er5Bi2Te2
_chemical_formula_sum 'Er20 Bi8 Te8'
_cell_length_a 15.2593
_cell_length_b 8.1227
_cell_length_c 8.2210
_cell_angle_alpha 90.00
_cell_angle_beta 90.00
_cell_angle_gamma 90.00
_symmetry_space_group_name_H-M 'C m c e'
_symmetry_Int_Tables_number 64
_symmetry_space_group_name_Hall '-C 2ac 2'
loop_
_atom_site_label
_atom_site_fract_x
_atom_site_fract_y
_atom_site_fract_z
Er1 0.0000 0.0000 0.0000
Er2 0.1325 0.1542 0.3431
Bi1 0.2003 0.0000 0.0000
Te1 0.0000 0.1463 0.6445